Material: MnZnCr2O6
Method: DFT, GGA+U
State: relaxed

```
data_MnZnCr2O6
_cell_length_a 5.0878
_cell_length_b 5.0878
_cell_length_c 13.7577
_cell_angle_alpha 90.00
_cell_angle_beta 90.00
_cell_angle_gamma 120.00
_symmetry_space_group_name_H-M 'R 3'
_symmetry_Int_Tables_number 146
_symmetry_space_group_name_Hall 'R 3'
loop_
_atom_site_label
_atom_site_type_symbol
_atom_site_fract_x
_atom_site_fract_y
_atom_site_fract_z
Mn1 Mn 0.0000 0.0000 0.0000
Zn1 Zn 0.0000 0.0000 0.4803
Cr1 Cr 0.0000 0.0000 0.1985
Cr2 Cr 0.0000 0.0000 0.6905
O1 O 0.0076 0.6887 0.6001
O2 O 0.0495 0.3673 0.7610
```

Calculated values
- Raw total energy: -7.019 eV per atom
- Magnetization: 9.00 μB/f.u.
- Density: 5.174 g cm⁻³
- Crystal system: trigonal